Record 1
A relaxed YSO3 crystal, computed with PBE.

Calculated values
- Raw total energy: -5.596 eV/atom
- Formation energy from raw total energies: -2.515 eV per formula unit
- Calculated volume: 81.0 Å³ per cell
- Total magnetization: 0.14 μB per atom
- DOS at the Fermi energy: 7.42 states/eV/f.u.

Cell lengths 4.326, 4.326, 4.326 Å; angles 90.00, 90.00, 90.00 degrees
Fractional positions:
1 Y 0.000 0.000 0.000
2 S 0.500 0.500 0.500
3 O 0.000 0.000 0.500
4 O 0.000 0.500 0.000
5 O 0.500 0.000 0.000

Record 2
A relaxed Y2SO crystal, computed with PBE.

Calculated values
- Raw total energy: -7.222 eV/atom
- Formation energy from raw total energies: -6.875 eV per formula unit
- Calculated volume: 67.7 Å³ per cell
- Total magnetization: 0.13 μB per atom
- Offset from the most stable computed form: 704 meV per atom
- DOS at the Fermi energy: 3.37 states/eV/f.u.

Cell lengths 4.575, 4.575, 4.575 Å; angles 60.00, 60.00, 60.00 degrees
Fractional positions:
1 Y 0.250 0.250 0.250
2 Y 0.750 0.750 0.750
3 S 0.000 0.000 0.000
4 O 0.500 0.500 0.500

Record 3
A relaxed YS3O crystal, computed with PBE.

Calculated values
- Raw total energy: -4.444 eV/atom
- Formation energy from raw total energies: 1.583 eV per formula unit
- Calculated volume: 148.7 Å³ per cell
- Total magnetization: 1.00 μB per atom
- Offset from the most stable computed form: 773 meV per atom
- DOS at the Fermi energy: 4.99 states/eV/f.u.

Cell lengths 5.298, 5.298, 5.298 Å; angles 90.00, 90.00, 90.00 degrees
Fractional positions:
1 Y 0.000 0.000 0.000
2 S 0.000 0.000 0.500
3 S 0.000 0.500 0.000
4 S 0.500 0.000 0.000
5 O 0.500 0.500 0.500

Record 4
A relaxed YSO4 crystal, computed with PBE.

Calculated values
- Raw total energy: -6.952 eV/atom
- Formation energy from raw total energies: -11.290 eV per formula unit
- Calculated volume: 101.5 Å³ per cell
- Total magnetization: 0.02 μB per atom
- DOS at the Fermi energy: 0.92 states/eV/f.u.

Cell lengths 5.322, 5.322, 5.322 Å; angles 99.26, 99.26, 132.71 degrees
Fractional positions:
1 Y 0.000 0.000 0.000
2 S 0.250 0.750 0.500
3 O 0.046 0.375 0.319
4 O 0.056 0.727 0.681
5 O 0.273 0.954 0.329
6 O 0.625 0.944 0.671

Record 5
A relaxed YS2O6 crystal, computed with PBE.

Calculated values
- Raw total energy: -6.521 eV/atom
- Formation energy from raw total energies: -14.223 eV per formula unit
- Calculated volume: 168.4 Å³ per cell
- Total magnetization: 0.11 μB per atom
- DOS at the Fermi energy: 1.88 states/eV/f.u.

Cell lengths 7.274, 7.274, 7.274 Å; angles 43.96, 43.96, 43.96 degrees
Fractional positions:
1 Y 0.000 0.000 0.000
2 S 0.270 0.270 0.270
3 S 0.397 0.397 0.397
4 O 0.094 0.094 0.558
5 O 0.094 0.558 0.094
6 O 0.264 0.264 0.728
7 O 0.264 0.728 0.264
8 O 0.558 0.094 0.094
9 O 0.728 0.264 0.264

Record 6
A relaxed Y4S3O4 crystal, computed with PBE.

Calculated values
- Raw total energy: -7.730 eV/atom
- Formation energy from raw total energies: -26.954 eV per formula unit
- Calculated volume: 175.8 Å³ per cell
- Total magnetization: 0.00 μB per atom
- DOS at the Fermi energy: 3.60 states/eV/f.u.

Cell lengths 7.485, 7.485, 7.485 Å; angles 149.93, 122.22, 66.51 degrees
Fractional positions:
1 Y 0.222 0.222 0.000
2 Y 0.252 0.500 0.752
3 Y 0.748 0.500 0.248
4 Y 0.778 0.778 0.000
5 S 0.000 0.000 0.000
6 S 0.413 0.913 0.500
7 S 0.587 0.087 0.500
8 O 0.014 0.325 0.689
9 O 0.364 0.675 0.689
10 O 0.636 0.325 0.311
11 O 0.986 0.675 0.311

Record 7
A relaxed Y2S2O crystal, computed with PBE.

Calculated values
- Raw total energy: -7.629 eV/atom
- Formation energy from raw total energies: -12.002 eV per formula unit
- Calculated volume: 192.5 Å³ per cell
- Total magnetization: 0.00 μB per atom
- Offset from the most stable computed form: 216 meV per atom

Cell lengths 5.467, 5.467, 10.548 Å; angles 90.00, 90.00, 142.37 degrees
Fractional positions:
1 Y 0.035 0.965 0.500
2 Y 0.219 0.781 0.737
3 Y 0.781 0.219 0.237
4 Y 0.965 0.035 0.000
5 S 0.079 0.921 0.246
6 S 0.336 0.664 0.438
7 S 0.664 0.336 0.938
8 S 0.921 0.079 0.746
9 O 0.371 0.629 0.103
10 O 0.629 0.371 0.603

Record 8
A relaxed YSO2 crystal, computed with PBE.

Calculated values
- Raw total energy: -7.058 eV/atom
- Formation energy from raw total energies: -7.724 eV per formula unit
- Calculated volume: 64.2 Å³ per cell
- Total magnetization: 0.20 μB per atom
- DOS at the Fermi energy: 1.45 states/eV/f.u.

Cell lengths 6.224, 6.224, 6.224 Å; angles 33.16, 33.16, 33.16 degrees
Fractional positions:
1 Y 0.000 0.000 0.000
2 S 0.500 0.500 0.500
3 O 0.390 0.390 0.390
4 O 0.610 0.610 0.610

Record 9
A relaxed Y2SO crystal, computed with PBE.

Calculated values
- Raw total energy: -7.640 eV/atom
- Formation energy from raw total energies: -8.546 eV per formula unit
- Calculated volume: 182.8 Å³ per cell
- Total magnetization: 0.00 μB per atom
- Offset from the most stable computed form: 286 meV per atom
- DOS at the Fermi energy: 2.78 states/eV/f.u.

Cell lengths 6.886, 6.886, 6.886 Å; angles 130.82, 130.82, 72.10 degrees
Fractional positions:
1 Y 0.070 0.625 0.945
2 Y 0.375 0.320 0.445
3 Y 0.680 0.125 0.055
4 Y 0.875 0.930 0.555
5 S 0.250 0.750 0.500
6 S 0.500 0.500 0.000
7 O 0.000 0.000 0.000
8 O 0.750 0.250 0.500

Record 10
A relaxed YSO2 crystal, computed with PBE.

Calculated values
- Raw total energy: -6.480 eV/atom
- Formation energy from raw total energies: -5.410 eV per formula unit
- Calculated volume: 121.1 Å³ per cell
- Total magnetization: 0.00 μB per atom
- DOS at the Fermi energy: 1.22 states/eV/f.u.

Cell lengths 7.477, 7.477, 7.477 Å; angles 147.37, 147.37, 46.82 degrees
Fractional positions:
1 Y 0.000 0.000 0.000
2 Y 0.750 0.250 0.500
3 S 0.250 0.750 0.500
4 S 0.500 0.500 0.000
5 O 0.131 0.625 0.006
6 O 0.375 0.381 0.506
7 O 0.619 0.125 0.994
8 O 0.875 0.869 0.494

Record 11
A relaxed YSO3 crystal, computed with PBE.

Calculated values
- Raw total energy: -6.312 eV/atom
- Formation energy from raw total energies: -6.094 eV per formula unit
- Calculated volume: 58.4 Å³ per cell
- Total magnetization: 0.00 μB per atom
- DOS at the Fermi energy: 1.89 states/eV/f.u.

Cell lengths 3.879, 3.879, 3.879 Å; angles 90.00, 90.00, 90.00 degrees
Fractional positions:
1 Y 0.000 0.000 0.000
2 S 0.500 0.500 0.500
3 O 0.000 0.500 0.500
4 O 0.500 0.000 0.500
5 O 0.500 0.500 0.000

Record 12
A relaxed YSO4 crystal, computed with PBE.

Calculated values
- Raw total energy: -6.944 eV/atom
- Formation energy from raw total energies: -11.239 eV per formula unit
- Calculated volume: 159.8 Å³ per cell
- Total magnetization: 0.00 μB per atom
- DOS at the Fermi energy: 0.80 states/eV/f.u.

Cell lengths 5.946, 5.946, 5.946 Å; angles 105.99, 105.99, 116.69 degrees
Fractional positions:
1 Y 0.375 0.625 0.750
2 Y 0.625 0.375 0.250
3 S 0.125 0.875 0.250
4 S 0.875 0.125 0.750
5 O 0.124 0.701 0.423
6 O 0.222 0.299 0.923
7 O 0.299 0.222 0.423
8 O 0.299 0.876 0.077
9 O 0.701 0.124 0.923
10 O 0.701 0.778 0.577
11 O 0.778 0.701 0.077
12 O 0.876 0.299 0.577